No. 1
VASP calculation (SCAN) on a PBEsol-optimized structure of TcC3.

## Properties
* offset from the most stable computed form: 0.0 kJ/mol of atoms
* N(E_F): 1.16 states/eV/f.u.
* V: 70.3 Å³/cell
* final energy: -60.94 eV per formula unit
* formation energy from the elements: 1104 meV per atom

Lattice parameters (Å, degrees): 5.329 5.329 3.889 90.00 90.00 140.45
Sites, in units of the cell vectors:
Tc  0.085  0.915  0.750
Tc  0.915  0.085  0.250
C  0.195  0.805  0.250
C  0.208  0.396  0.750
C  0.396  0.208  0.250
C  0.604  0.792  0.750
C  0.792  0.604  0.250
C  0.805  0.195  0.750

=====

No. 2
VASP calculation (SCAN) on a PBEsol-optimized structure of TcTe2C.

## Properties
* N(E_F): 2.96 states/eV/f.u.
* V: 73.2 Å³/cell
* final energy: -113.05 eV per formula unit
* uncorrected formation energy: 1.653 eV per atom

Lattice parameters (Å, degrees): 8.249 8.249 8.249 22.67 22.67 22.67
Sites, in units of the cell vectors:
Tc  0.000  0.000  0.000
Te  0.103  0.103  0.103
Te  0.897  0.897  0.897
C  0.500  0.500  0.500

=====

No. 3
VASP calculation (SCAN) on a PBEsol-optimized structure of TcTeC3.

## Properties
* N(E_F): 2.58 states/eV/f.u.
* V: 67.5 Å³/cell
* final energy: -86.63 eV per formula unit
* uncorrected formation energy: 3.195 eV per atom

Lattice parameters (Å, degrees): 4.071 4.071 4.071 90.00 90.00 90.00
Sites, in units of the cell vectors:
Tc  0.000  0.000  0.000
Te  0.500  0.500  0.500
C  0.000  0.500  0.500
C  0.500  0.000  0.500
C  0.500  0.500  0.000

=====

No. 4
VASP calculation (SCAN) on a PBEsol-optimized structure of TlTcC3.

## Properties
* N(E_F): 2.94 states/eV/f.u.
* V: 75.4 Å³/cell
* final energy: -118.64 eV per formula unit
* formation energy from the elements: 3815 meV per atom

Lattice parameters (Å, degrees): 4.224 4.224 4.224 90.00 90.00 90.00
Sites, in units of the cell vectors:
Tl  0.000  0.000  0.000
Tc  0.500  0.500  0.500
C  0.000  0.000  0.500
C  0.000  0.500  0.000
C  0.500  0.000  0.000

=====

Which of these has the lowest N(E_F)? TcC3